Here is a relaxed structure of Na3Co2PtO6 from Alexandria. Energies are from PBE with a Hubbard U.

Summary:
* calculated volume: 11.1 Å³/atom
* D(E_F): 0.4030 states/eV/atom
* uncorrected energy: -5.311 eV per atom

Cell: 5.355 9.344 5.631 Å, 90.00 108.90 90.00°
Space group C2/m (No. 12)
Inequivalent atoms, fractional coordinates:
Na 0.000 0.000 0.000 (multiplicity 2)
Na 0.000 0.332 0.000 (multiplicity 4)
Co 0.000 0.167 0.500 (multiplicity 4)
Pt 0.000 0.500 0.500 (multiplicity 2)
O 0.230 0.336 0.703 (multiplicity 8)
O 0.237 0.000 0.699 (multiplicity 4)